Density functional theory data (PBE-GGA) for a relaxed LiCaOs2 crystal.

Computed properties:
Its magnetic moment is 0.000 μB/cell. The calculation puts the theoretical density at 10.10 Mg/m³. As for the calculated volume: 70.25 Å³ per cell. The formation energy from the elements is 0.578 eV per atom.

Lattice parameters (Å, degrees): 5.6288 5.6288 5.6288 149.87 127.65 61.59
Positions (direct):
1 Ca 0.5047 0.5047 0.0000
2 Os 0.9895 0.9895 0.0000
3 Li 0.2258 0.7258 0.5000
4 Os 0.7801 0.2801 0.5000